Record 1
# Ba4PBrCl2

Crystalline Ba4PBrCl2 at its relaxed geometry (PBE, Alexandria).

Cell lengths 4.6353, 8.1549, 7.9406 Å; angles 109.33, 90.00, 90.00 degrees
Positions (direct):
1 Ba 0.5000 0.2693 0.2462
2 Ba 0.5000 0.7307 0.7538
3 Ba 0.0000 0.2729 0.7649
4 Ba 0.0000 0.7271 0.2351
5 P 0.5000 0.5000 0.0000
6 Br 0.0000 0.0000 0.0000
7 Cl 0.5000 0.0000 0.5000
8 Cl 0.0000 0.5000 0.5000

Results
The calculation puts the raw formation energy at -1.68 eV/atom. The total energy is -31.910 eV/f.u.

***

Record 2
# BaPBrCl2

Crystalline BaPBrCl2 at its relaxed geometry (PBE, Alexandria).

Cell lengths 5.8155, 5.8155, 10.2650 Å; angles 90.00, 90.00, 90.00 degrees
Each line ends with the local moment (μB).
Positions (direct):
1 P 0.0000 0.0000 0.5000  1.10
2 Ba 0.0000 0.0000 0.0000  0.00
3 Br 0.5000 0.5000 0.5000  -0.38
4 Cl 0.0000 0.5000 0.0000  0.00
5 Cl 0.5000 0.0000 0.0000  0.00

Results
Its energy above the most stable polymorph in this dataset is 0.46 eV/f.u. The calculation puts the raw formation energy at -0.42 eV/atom. The total energy is -14.795 eV/f.u.

***

Record 3
# Ba4PbBrCl2

Crystalline Ba4PbBrCl2 at its relaxed geometry (PBE, Alexandria).

Cell lengths 4.9647, 8.1209, 8.3096 Å; angles 69.36, 90.00, 90.00 degrees
Positions (direct):
1 Ba 0.0000 0.7560 0.7419
2 Ba 0.0000 0.2440 0.2581
3 Ba 0.5000 0.7527 0.2551
4 Ba 0.5000 0.2473 0.7449
5 Pb 0.0000 0.5000 0.5000
6 Br 0.5000 0.5000 0.0000
7 Cl 0.0000 0.0000 0.0000
8 Cl 0.5000 0.0000 0.5000

Results
The calculation puts the raw formation energy at -1.48 eV/atom. The total energy is -28.601 eV/f.u.

***

Record 4
# Ba4PdBr2Cl

Crystalline Ba4PdBr2Cl at its relaxed geometry (PBE, Alexandria).

Cell lengths 4.5260, 8.5420, 8.2309 Å; angles 73.15, 90.00, 90.00 degrees
Positions (direct):
1 Ba 0.0000 0.7279 0.7467
2 Ba 0.0000 0.2721 0.2533
3 Ba 0.5000 0.7182 0.2740
4 Ba 0.5000 0.2818 0.7260
5 Pd 0.0000 0.5000 0.5000
6 Br 0.0000 0.0000 0.0000
7 Br 0.5000 0.0000 0.5000
8 Cl 0.5000 0.5000 0.0000

Results
The calculation puts the raw formation energy at -1.38 eV/atom. The total energy is -29.156 eV/f.u.

***

Record 5
# Ba4PtBr2Cl

Crystalline Ba4PtBr2Cl at its relaxed geometry (PBE, Alexandria).

Cell lengths 4.5266, 8.5417, 8.2598 Å; angles 73.65, 90.00, 90.00 degrees
Positions (direct):
1 Ba 0.0000 0.7130 0.7798
2 Ba 0.0000 0.2870 0.2202
3 Ba 0.5000 0.7258 0.2416
4 Ba 0.5000 0.2742 0.7584
5 Pt 0.5000 0.5000 0.0000
6 Br 0.0000 0.0000 0.0000
7 Br 0.5000 0.0000 0.5000
8 Cl 0.0000 0.5000 0.5000

Results
The calculation puts the raw formation energy at -1.48 eV/atom. The total energy is -30.725 eV/f.u.

***

Record 6
# Ba6Pt2Br3Cl

Crystalline Ba6Pt2Br3Cl at its relaxed geometry (PBE, Alexandria).

Cell lengths 4.5764, 9.9567, 10.8013 Å; angles 106.55, 102.23, 90.00 degrees
Positions (direct):
1 Ba 0.3280 0.8793 0.6561
2 Ba 0.6760 0.5591 0.3520
3 Ba 0.6720 0.1207 0.3439
4 Ba 0.0162 0.2534 0.0323
5 Ba 0.9838 0.7466 0.9677
6 Ba 0.3240 0.4409 0.6480
7 Pt 0.8333 0.6691 0.6665
8 Pt 0.1667 0.3309 0.3335
9 Br 0.5000 0.5000 0.0000
10 Br 0.8450 0.1588 0.6899
11 Br 0.1550 0.8412 0.3101
12 Cl 0.5000 0.0000 0.0000

Results
The calculation puts the raw formation energy at -1.43 eV/atom. The total energy is -47.633 eV/f.u.

***

Record 7
# Ba6Pt3Br2Cl

Crystalline Ba6Pt3Br2Cl at its relaxed geometry (PBE, Alexandria).

Cell lengths 4.5585, 9.7668, 10.7738 Å; angles 108.17, 102.21, 90.00 degrees
Positions (direct):
1 Ba 0.3268 0.9374 0.6536
2 Ba 0.6579 0.6043 0.3158
3 Ba 0.6732 0.0626 0.3464
4 Ba 0.9922 0.2658 0.9844
5 Ba 0.0078 0.7342 0.0156
6 Ba 0.3421 0.3957 0.6842
7 Pt 0.5000 0.5000 0.0000
8 Pt 0.8331 0.1654 0.6662
9 Pt 0.1669 0.8346 0.3338
10 Br 0.8333 0.6663 0.6666
11 Br 0.1667 0.3337 0.3334
12 Cl 0.5000 0.0000 0.0000

Results
The calculation puts the raw formation energy at -1.31 eV/atom. The total energy is -50.547 eV/f.u.

***

Record 8
# Ba6Pt3BrCl2

Crystalline Ba6Pt3BrCl2 at its relaxed geometry (PBE, Alexandria).

Cell lengths 4.5440, 9.6820, 10.6896 Å; angles 107.75, 102.27, 90.00 degrees
Positions (direct):
1 Ba 0.3252 0.9332 0.6503
2 Ba 0.6609 0.5983 0.3219
3 Ba 0.6748 0.0668 0.3497
4 Ba 0.9930 0.2709 0.9860
5 Ba 0.0070 0.7291 0.0140
6 Ba 0.3391 0.4017 0.6781
7 Pt 0.5000 0.5000 0.0000
8 Pt 0.8335 0.1686 0.6670
9 Pt 0.1665 0.8314 0.3330
10 Br 0.5000 0.0000 0.0000
11 Cl 0.8332 0.6671 0.6663
12 Cl 0.1668 0.3329 0.3337

Results
The calculation puts the raw formation energy at -1.34 eV/atom. The total energy is -51.106 eV/f.u.

***

Record-wise size of the total moment values, in Bohr magnetons per cell: 0.00; 2.07; 0.00; 0.67; 0.43; 0.00; 0.00; 0.00